Entry 1:
Computed, not measured: CaAs2PBr at its PBEsol-relaxed geometry at the SCAN level of DFT.

Cell: 4.732 4.732 5.303 Å, 90.00 90.00 90.00°
Sites, in units of the cell vectors:
Ca 0.000 0.000 0.000
As 0.000 0.500 0.500
As 0.500 0.000 0.500
P 0.500 0.500 0.500
Br 0.500 0.500 0.000

Entry 2:
Computed, not measured: CaAsPbBr2 at its PBEsol-relaxed geometry at the SCAN level of DFT.

Cell: 5.264 5.264 5.786 Å, 90.00 90.00 90.00°
Sites, in units of the cell vectors:
Ca 0.000 0.000 0.000
As 0.000 0.000 0.500
Pb 0.500 0.500 0.500
Br 0.000 0.500 0.000
Br 0.500 0.000 0.000

Entry 3:
Computed, not measured: CaAs2PtBr at its PBEsol-relaxed geometry at the SCAN level of DFT.

Cell: 4.839 4.839 5.321 Å, 90.00 90.00 90.00°
Sites, in units of the cell vectors:
Ca 0.000 0.000 0.000
As 0.000 0.500 0.500
As 0.500 0.000 0.500
Pt 0.500 0.500 0.500
Br 0.500 0.500 0.000

Entry 4:
Computed, not measured: CaAsRuBr2 at its PBEsol-relaxed geometry at the SCAN level of DFT.

Cell: 5.127 5.127 4.645 Å, 90.00 90.00 90.00°
Sites, in units of the cell vectors:
Ca 0.000 0.000 0.000
As 0.500 0.500 0.000
Ru 0.500 0.500 0.500
Br 0.000 0.500 0.500
Br 0.500 0.000 0.500

Values from the calculation:
The polymorph energy (0 for the lowest one) is 0.0 kJ/mol of atoms.

Entry 5:
Computed, not measured: CaAsRuBr2 at its PBEsol-relaxed geometry at the SCAN level of DFT.

Cell: 5.228 5.228 5.734 Å, 90.00 90.00 90.00°
Sites, in units of the cell vectors:
Ca 0.000 0.000 0.000
As 0.000 0.000 0.500
Ru 0.500 0.500 0.500
Br 0.000 0.500 0.000
Br 0.500 0.000 0.000

Values from the calculation:
The polymorph energy (0 for the lowest one) is 76.4 kJ/mol of atoms.

Entry 6:
Computed, not measured: CaScAs2Br at its PBEsol-relaxed geometry at the SCAN level of DFT.

Cell: 5.033 5.033 5.292 Å, 90.00 90.00 90.00°
Sites, in units of the cell vectors:
Ca 0.000 0.000 0.000
Sc 0.500 0.500 0.500
As 0.000 0.500 0.500
As 0.500 0.000 0.500
Br 0.500 0.500 0.000

Number 1: magnetic moment 0.0 Bohr magnetons per cell, energy -80.61 eV/f.u., formation energy from raw total energies -0.7 eV per formula unit. Number 2: magnetic moment 1.0 Bohr magnetons per cell, energy -147.60 eV/f.u., formation energy from raw total energies -3.0 eV per formula unit. Number 3: magnetic moment 0.9 Bohr magnetons per cell, energy -141.02 eV/f.u., formation energy from raw total energies -1.3 eV per formula unit. Number 4: magnetic moment 0.0 Bohr magnetons per cell, energy -105.72 eV/f.u., formation energy from raw total energies -2.1 eV per formula unit. Number 5: magnetic moment 5.0 Bohr magnetons per cell, energy -101.76 eV/f.u., formation energy from raw total energies 1.8 eV per formula unit. Number 6: magnetic moment 0.0 Bohr magnetons per cell, energy -88.12 eV/f.u., formation energy from raw total energies -4.4 eV per formula unit.